# 1
Na2CuPtRh PBE relaxed; calculated volume = 128.94 Å³ per cell; E above lowest polymorph = 0.50 eV/f.u.; total moment = 0.325 μB per atom; energy of formation from the pure elements = 949 meV per atom
1.0
5.2058 0.0000 0.0000
0.0000 5.2058 0.0000
0.0000 0.0000 4.7577
Na Cu Pt Rh
2 1 1 1
Cartesian
0.0000 2.6029 0.0000 Na
2.6029 0.0000 0.0000 Na
0.0000 0.0000 2.3789 Cu
0.0000 0.0000 0.0000 Pt
2.6029 2.6029 2.3789 Rh

# 2
SrAl3Sb PBE relaxed; energy relative to the elements, uncorrected = 0.46 eV per atom; calculated volume = 159.45 Å³ per cell; E above lowest polymorph = 0.00 eV/f.u.; total moment = 0.000 μB per atom
1.0
5.4226 0.0000 0.0000
0.0000 5.4226 0.0000
0.0000 0.0000 5.4226
Sr Al Sb
1 3 1
Cartesian
0.0000 0.0000 0.0000 Sr
0.0000 2.7113 2.7113 Al
2.7113 0.0000 2.7113 Al
2.7113 2.7113 0.0000 Al
2.7113 2.7113 2.7113 Sb

# 3
Rb2TlAuO4 PBE relaxed; energy relative to the elements, uncorrected = -0.76 eV per atom; calculated volume = 153.23 Å³ per cell; total moment = 0.000 μB per atom
1.0
-3.2560 3.2560 3.6133
3.2560 -3.2560 3.6133
3.2560 3.2560 -3.6133
Rb Tl Au O
2 1 1 4
Cartesian
0.0000 0.0000 0.0000 Rb
0.0000 3.2560 1.8067 Rb
0.0000 0.0000 3.6133 Tl
3.2560 0.0000 1.8067 Au
1.7897 2.3109 -1.4424 O
1.4664 0.9452 2.1710 O
4.2012 1.7897 1.4424 O
-0.9452 1.4664 5.0557 O

# 4
Ca2Mn2As2N PBE relaxed; energy relative to the elements, uncorrected = -0.69 eV per atom; calculated volume = 125.25 Å³ per cell; total moment = 1.038 μB per atom
1.0
-2.0468 2.0468 7.4740
2.0468 -2.0468 7.4740
2.0468 2.0468 -7.4740
Ca Mn As N
2 2 2 1
Cartesian
0.0000 0.0000 2.4440 Ca
0.0000 0.0000 12.5040 Ca
2.0468 0.0000 0.0000 Mn
0.0000 2.0468 0.0000 Mn
0.0000 0.0000 5.6239 As
0.0000 0.0000 9.3241 As
0.0000 0.0000 0.0000 N

# 5
LiInTe PBE relaxed; energy relative to the elements, uncorrected = -0.36 eV per atom; calculated volume = 80.78 Å³ per cell; E above lowest polymorph = 0.53 eV/f.u.; total moment = 0.000 μB per atom
1.0
-2.0684 2.0684 4.7201
2.0684 -2.0684 4.7201
2.0684 2.0684 -4.7201
Li In Te
1 1 1
Cartesian
0.0000 0.0000 0.0000 Li
0.0000 0.0000 6.4536 In
0.0000 0.0000 3.2796 Te

# 6
MgTl5 PBE relaxed; calculated volume = 173.75 Å³ per cell; total moment = 0.000 μB per atom; energy of formation from the pure elements = 22 meV per atom
1.0
2.3242 -7.8744 0.0000
2.3242 7.8744 0.0000
0.0000 0.0000 4.7468
Mg Tl
1 5
Cartesian
0.0000 0.0000 0.0000 Mg
2.3242 5.3095 2.3734 Tl
2.3242 2.5619 0.0000 Tl
2.3242 0.0000 2.3734 Tl
2.3242 -2.5619 0.0000 Tl
2.3242 -5.3095 2.3734 Tl

# 7
Pr3ThCl PBE relaxed; energy relative to the elements, uncorrected = -0.41 eV per atom; calculated volume = 166.54 Å³ per cell; total moment = 0.000 μB per atom
1.0
5.5018 0.0000 0.0000
0.0000 5.5018 0.0000
0.0000 0.0000 5.5018
Pr Th Cl
3 1 1
Cartesian
0.0000 0.0000 2.7509 Pr
0.0000 2.7509 0.0000 Pr
2.7509 0.0000 0.0000 Pr
2.7509 2.7509 2.7509 Th
0.0000 0.0000 0.0000 Cl

# 8
WBr3 PBE relaxed; energy relative to the elements, uncorrected = 0.35 eV per atom; calculated volume = 91.41 Å³ per cell; E above lowest polymorph = 1.79 eV/f.u.; total moment = 0.000 μB per atom
1.0
3.2471 0.0000 0.0000
-1.6236 2.8121 0.0000
0.0000 0.0000 10.0106
W Br
1 3
Cartesian
0.0000 0.0000 0.0000 W
0.0000 0.0000 5.0053 Br
0.0000 1.8747 1.9038 Br
0.0000 1.8747 8.1069 Br